Density functional theory data (PBE-GGA) for a relaxed Tc2AgCl crystal.

```
Tc2AgCl
1.0
2.825 0.000 0.000
0.000 4.719 0.000
0.000 0.000 4.912
Ag Cl Tc
1 1 2
Cartesian
1.413 0.000 2.456
0.000 2.359 2.456
0.000 0.000 0.000
1.413 2.359 0.000
```

Properties
Energy above the most stable polymorph in this dataset, meV/atom: 794
Density, g/cm3: 8.60
Crystal system: orthorhombic

Density functional theory data (PBE-GGA) for a relaxed Tc4AgCl crystal.

```
Tc4AgCl
1.0
-4.852 -1.840 0.515
-1.774 -1.396 4.700
-3.642 2.879 2.373
Tc Ag Cl
4 1 1
Cartesian
-6.287 -1.062 3.096
-5.677 1.321 4.035
-4.733 -0.839 5.210
-3.837 -0.133 2.836
-7.701 -0.268 5.691
0.000 0.000 0.000
```

Properties
Density, g/cm3: 8.87
Crystal system: cubic
Total DFT energy (no corrections), eV per atom: -6.734

Density functional theory data (PBE-GGA) for a relaxed Tc2AgCl crystal.

```
Tc2AgCl
1.0
-2.484 -2.223 -4.129
0.271 -2.571 -4.634
-0.498 -5.015 0.748
Ag Cl Tc
1 1 2
Cartesian
-1.329 -4.816 -3.927
-0.713 -2.253 -2.336
-0.494 -4.895 0.687
-2.027 -7.763 -5.699
```

Properties
Energy above the most stable polymorph in this dataset, meV/atom: 520
Density, g/cm3: 8.20
Crystal system: monoclinic

Density functional theory data (PBE-GGA) for a relaxed Tc2AgCl crystal.

```
Tc2AgCl
1.0
4.513 0.000 0.000
2.257 3.909 0.000
2.257 1.303 3.685
Ag Cl Tc
1 1 2
Cartesian
4.513 2.606 1.843
2.257 1.303 0.921
0.000 0.000 0.000
6.770 3.909 2.764
```

Properties
Energy above the most stable polymorph in this dataset, meV/atom: 856
Density, g/cm3: 8.67
Crystal system: cubic

Density functional theory data (PBE-GGA) for a relaxed Tc3AgCl crystal.

```
Tc3AgCl
1.0
-0.425 1.812 3.947
-1.522 -3.776 1.570
4.067 -1.224 1.000
Tc Ag Cl
3 1 1
Cartesian
-0.761 -1.888 0.785
2.034 -0.612 0.500
-0.212 0.906 1.973
1.060 -1.594 3.258
0.000 0.000 0.000
```

Properties
Energy above the most stable polymorph in this dataset, meV/atom: 0
Density, g/cm3: 8.74
Crystal system: cubic

Density functional theory data (PBE-GGA) for a relaxed Tc2AgCl crystal.

```
Tc2AgCl
1.0
-3.609 3.174 -2.717
-2.464 1.499 -4.708
-4.172 -1.946 -0.761
Ag Cl Tc
1 1 2
Cartesian
-7.684 2.045 -6.140
-2.561 0.682 -2.047
-5.982 4.488 -7.216
-5.214 1.549 -4.302
```

Properties
Energy above the most stable polymorph in this dataset, meV/atom: 642
Density, g/cm3: 8.86
Crystal system: monoclinic

Density functional theory data (PBE-GGA) for a relaxed Tc2AgCl crystal.

```
Tc2AgCl
1.0
2.951 0.000 0.000
0.000 2.996 -0.001
0.000 1.341 7.969
Ag Cl Tc
1 1 2
Cartesian
0.000 2.412 3.793
1.476 3.760 6.234
0.000 2.413 0.239
1.476 0.916 1.686
```

Properties
Energy above the most stable polymorph in this dataset, meV/atom: 0
Density, g/cm3: 8.00
Crystal system: monoclinic

Density functional theory data (PBE-GGA) for a relaxed Tc2Ag2Cl crystal.

```
Tc2Ag2Cl
1.0
-3.308 -0.768 0.632
-0.306 -1.303 -3.184
0.423 -8.348 1.502
Tc Ag Cl
2 2 1
Cartesian
-2.346 -5.076 0.429
-0.845 -5.344 -1.479
-1.335 -2.584 -0.688
-1.856 -7.836 -0.362
0.000 0.000 0.000
```

Properties
Energy above the most stable polymorph in this dataset, meV/atom: 0
Density, g/cm3: 7.65
Crystal system: tetragonal

Density functional theory data (PBE-GGA) for a relaxed Tc2AgCl crystal.

```
Tc2AgCl
1.0
-1.993 -1.702 1.376
2.180 -1.707 1.046
0.445 3.985 5.575
Ag Cl Tc
1 1 2
Cartesian
0.205 -0.708 2.605
0.428 1.284 5.393
0.429 3.838 5.370
0.239 2.140 2.994
```

Properties
Energy above the most stable polymorph in this dataset, meV/atom: 796
Density, g/cm3: 9.36
Crystal system: tetragonal

Density functional theory data (PBE-GGA) for a relaxed Tc2AgCl crystal.

```
Tc2AgCl
1.0
2.923 0.000 0.000
0.000 2.923 0.000
0.000 0.000 8.148
Ag Cl Tc
1 1 2
Cartesian
0.000 0.000 3.835
1.461 1.461 6.521
0.000 0.000 0.172
1.461 1.461 1.694
```

Properties
Energy above the most stable polymorph in this dataset, meV/atom: 82
Density, g/cm3: 8.10
Crystal system: tetragonal

Density functional theory data (PBE-GGA) for a relaxed TcAg2Cl2 crystal.

```
TcAg2Cl2
1.0
-2.956 -0.928 3.153
3.164 0.342 3.068
-1.047 5.290 3.675
Tc Ag Cl
1 2 2
Cartesian
0.000 0.000 0.000
-0.159 0.981 3.239
-0.680 3.722 6.656
-1.950 2.034 4.969
1.111 2.669 4.927
```

Properties
Energy above the most stable polymorph in this dataset, meV/atom: 281
Density, g/cm3: 5.71
Crystal system: tetragonal

Density functional theory data (PBE-GGA) for a relaxed Tc2Ag2Cl crystal.

```
Tc2Ag2Cl
1.0
8.482 0.000 0.000
0.000 8.482 0.000
0.000 0.000 2.717
Tc Ag Cl
4 4 2
Cartesian
0.779 5.020 1.358
5.020 7.703 1.358
7.703 3.462 1.358
3.462 0.779 1.358
2.581 6.823 0.000
6.823 5.901 0.000
5.901 1.660 0.000
1.660 2.581 0.000
0.000 0.000 0.000
4.241 4.241 0.000
```

Properties
Energy above the most stable polymorph in this dataset, meV/atom: 361
Density, g/cm3: 7.60
Crystal system: tetragonal

Density functional theory data (PBE-GGA) for a relaxed TcAg2Cl8 crystal.

```
TcAg2Cl8
1.0
-5.070 0.823 3.243
-1.215 -2.709 -6.900
1.159 -7.431 3.696
Tc Ag Cl
1 2 8
Cartesian
0.000 0.000 0.000
-4.400 -5.419 0.185
-0.726 -3.899 -0.145
-4.638 -0.135 1.214
-2.195 -0.531 -0.349
-0.488 -9.183 -1.175
-1.783 -5.650 -1.354
-2.931 -8.786 0.388
-5.924 -4.007 -2.555
0.798 -5.310 2.595
-3.343 -3.667 1.394
```

Properties
Density, g/cm3: 2.86
Crystal system: monoclinic
Total DFT energy (no corrections), eV per atom: -3.221